# 1
# Sr2I5N2 PBE optimized geometry
# mass density: 3.45 Mg/m³
# raw total energy: -3.456 eV per atom
data_Sr2I5N2
_chemical_formula_sum 'Sr4 I10 N4'
_cell_length_a 8.567
_cell_length_b 10.250
_cell_length_c 10.638
_cell_angle_alpha 70.78
_cell_angle_beta 87.39
_cell_angle_gamma 66.65
_space_group_name_H-M_alt 'P 1'
_space_group_IT_number 1
loop_
_space_group_symop_operation_xyz
'x,y,z'
loop_
_atom_site_label
_atom_site_type_symbol
_atom_site_fract_x
_atom_site_fract_y
_atom_site_fract_z
Sr1 Sr 0.000 0.000 0.000
Sr2 Sr 0.196 0.508 0.893
Sr3 Sr 0.508 0.547 0.412
Sr4 Sr 0.704 0.527 0.904
I1 I 0.053 0.264 0.106
I2 I 0.091 0.815 0.386
I3 I 0.366 0.655 0.079
I4 I 0.384 0.697 0.660
I5 I 0.502 0.196 0.552
I6 I 0.585 0.248 0.960
I7 I 0.689 0.881 0.272
I8 I 0.839 0.781 0.910
I9 I 0.938 0.132 0.569
I10 I 0.970 0.473 0.682
N1 N 0.685 0.686 0.328
N2 N 0.695 0.276 0.497
N3 N 0.920 0.872 0.222
N4 N 0.995 0.083 0.754


# 2
# Sr2I3N2 PBE optimized geometry
# mass density: 4.28 Mg/m³
# raw total energy: -4.680 eV per atom
# DOS(E_F): 1.06 states/eV/f.u.
data_Sr2I3N2
_chemical_formula_sum 'Sr2 I3 N2'
_cell_length_a 4.334
_cell_length_b 6.991
_cell_length_c 7.864
_cell_angle_alpha 96.73
_cell_angle_beta 93.17
_cell_angle_gamma 105.93
_space_group_name_H-M_alt 'P -1'
_space_group_IT_number 2
loop_
_space_group_symop_operation_xyz
'x,y,z'
'-x,-y,-z'
loop_
_atom_site_label
_atom_site_type_symbol
_atom_site_fract_x
_atom_site_fract_y
_atom_site_fract_z
Sr1 Sr 0.131 0.203 0.317
I1 I 0.213 0.429 0.724
I2 I 0.500 0.000 0.000
N1 N 0.385 0.962 0.533


# 3
# SrI3N PBE optimized geometry
# mass density: 2.93 Mg/m³
# raw total energy: -2.690 eV per atom
# energy above the most stable polymorph in this dataset: 0.605 eV/atom
# DOS(E_F): 5.63 states/eV/f.u.
data_SrI3N
_chemical_formula_sum 'Sr1 I3 N1'
_cell_length_a 6.493
_cell_length_b 6.493
_cell_length_c 6.493
_cell_angle_alpha 90.00
_cell_angle_beta 90.00
_cell_angle_gamma 90.00
_space_group_name_H-M_alt 'P m -3 m'
_space_group_IT_number 221
_space_group_name_Hall '-P 4 2 3'
loop_
_atom_site_label
_atom_site_type_symbol
_atom_site_fract_x
_atom_site_fract_y
_atom_site_fract_z
Sr1 Sr 0.000 0.000 0.000
I1 I 0.000 0.000 0.500
N1 N 0.500 0.500 0.500


# 4
# SrIN2 PBE optimized geometry
# mass density: 5.94 Mg/m³
# raw total energy: -3.773 eV per atom
# energy above the most stable polymorph in this dataset: 1.879 eV/atom
# DOS(E_F): 1.70 states/eV/f.u.
data_SrIN2
_chemical_formula_sum 'Sr4 I4 N8'
_cell_length_a 6.472
_cell_length_b 6.472
_cell_length_c 6.472
_cell_angle_alpha 90.00
_cell_angle_beta 90.00
_cell_angle_gamma 90.00
_space_group_name_H-M_alt 'F m -3 m'
_space_group_IT_number 225
_space_group_name_Hall '-F 4 2 3'
loop_
_atom_site_label
_atom_site_type_symbol
_atom_site_fract_x
_atom_site_fract_y
_atom_site_fract_z
Sr1 Sr 0.000 0.000 0.000
I1 I 0.000 0.000 0.500
N1 N 0.250 0.250 0.250


# 5
# Sr12I3N5 PBE optimized geometry
# mass density: 3.75 Mg/m³
# raw total energy: -3.892 eV per atom
# DOS(E_F): 12.23 states/eV/f.u.
data_Sr12I3N5
_chemical_formula_sum 'Sr96 I24 N40'
_cell_length_a 17.454
_cell_length_b 17.454
_cell_length_c 17.454
_cell_angle_alpha 90.00
_cell_angle_beta 90.00
_cell_angle_gamma 90.00
_space_group_name_H-M_alt 'I a -3 d'
_space_group_IT_number 230
_space_group_name_Hall '-I 4bd 2c 3'
loop_
_atom_site_label
_atom_site_type_symbol
_atom_site_fract_x
_atom_site_fract_y
_atom_site_fract_z
Sr1 Sr 0.041 0.041 0.648
I1 I 0.000 0.250 0.125
N1 N 0.000 0.000 0.000
N2 N 0.000 0.250 0.375


# 6
# Sr2TaIN PBE optimized geometry
# mass density: 4.25 Mg/m³
# raw total energy: -3.616 eV per atom
# DOS(E_F): 4.46 states/eV/f.u.
data_Sr2TaIN
_chemical_formula_sum 'Sr2 Ta1 I1 N1'
_cell_length_a 6.082
_cell_length_b 6.082
_cell_length_c 5.254
_cell_angle_alpha 90.00
_cell_angle_beta 90.00
_cell_angle_gamma 90.00
_space_group_name_H-M_alt 'P 4/m m m'
_space_group_IT_number 123
_space_group_name_Hall '-P 4 2'
loop_
_atom_site_label
_atom_site_type_symbol
_atom_site_fract_x
_atom_site_fract_y
_atom_site_fract_z
Sr1 Sr 0.000 0.500 0.000
Ta1 Ta 0.000 0.000 0.000
I1 I 0.000 0.000 0.500
N1 N 0.500 0.500 0.500


Which formula does entry 3 have? SrI3N